1.
Compound: RbTiSCl2
Source: Alexandria via LeMat-Bulk
Functional: PBE
Structure: optimized geometry Values from VASP.

Quantum ESPRESSO input file:
```
&SYSTEM
  ibrav = 0, nat = 5, ntyp = 4
/
ATOMIC_SPECIES
S 32.06 S.upf
Cl 35.45 Cl.upf
Rb 85.47 Rb.upf
Ti 47.87 Ti.upf
CELL_PARAMETERS angstrom
-4.860 2.772 1.052
-2.791 -3.598 -3.416
-0.937 -3.220 4.157
ATOMIC_POSITIONS angstrom
S -0.468 -1.610 2.079
Cl -1.396 -1.799 -1.708
Cl -2.430 1.386 0.526
Rb 0.000 0.000 0.000
Ti -4.294 -2.023 0.896
```

Values from the calculation:
Crystal system ... tetragonal
ρ ... 2.3 g/cm³
Formation energy without anion corrections ... 0.349 eV/atom
Density of states at the Fermi level ... 1.40 states/eV per cell
E above lowest polymorph ... 890 kJ/mol of formula units
SG ... P4/mmm (123)



2.
Compound: Pr2Nd3Sm5
Source: Alexandria via LeMat-Bulk
Functional: PBE
Structure: optimized geometry Values from VASP.

Quantum ESPRESSO input file:
```
&SYSTEM
  ibrav = 0, nat = 20, ntyp = 3
/
ATOMIC_SPECIES
Pr 140.91 Pr.upf
Nd 144.24 Nd.upf
Sm 150.36 Sm.upf
CELL_PARAMETERS angstrom
8.401 1.403 -3.834
0.026 8.494 -3.889
-1.452 -1.630 11.126
ATOMIC_POSITIONS angstrom
Pr 5.382 0.029 5.283
Pr 1.592 8.237 -1.880
Pr 2.943 5.629 3.653
Pr 4.032 2.637 -0.249
Nd 0.535 7.046 5.911
Nd 6.440 1.220 -2.508
Nd 5.775 4.685 -1.867
Nd 1.200 3.581 5.270
Nd -0.162 6.176 -0.291
Nd 7.137 2.090 3.694
Sm 2.257 4.770 -2.524
Sm 4.718 3.496 5.927
Sm -0.556 5.736 3.043
Sm 3.636 2.196 3.082
Sm 7.530 2.530 0.360
Sm 3.339 6.070 0.322
Sm 6.261 5.277 2.520
Sm 0.714 2.988 0.883
Sm 2.047 0.359 6.368
Sm 4.928 7.907 -2.965
```

Values from the calculation:
Crystal system ... monoclinic
ρ ... 6.9 g/cm³
Density of states at the Fermi level ... 33.17 states/eV per cell
E above lowest polymorph ... 0 kJ/mol of formula units
SG ... C2/c (15)



3.
Compound: Ac3Ho2Tl4Ag2
Source: Alexandria via LeMat-Bulk
Functional: PBE
Structure: optimized geometry Values from VASP.

Quantum ESPRESSO input file:
```
&SYSTEM
  ibrav = 0, nat = 11, ntyp = 4
/
ATOMIC_SPECIES
Ac 227.00 Ac.upf
Ho 164.93 Ho.upf
Tl 204.38 Tl.upf
Ag 107.87 Ag.upf
CELL_PARAMETERS angstrom
5.133 0.000 0.000
-2.567 4.445 0.000
0.000 0.000 15.443
ATOMIC_POSITIONS angstrom
Ac 0.000 0.000 11.582
Ac 0.000 0.000 0.000
Ac 0.000 0.000 3.861
Ho 2.567 1.482 6.606
Ho 0.000 2.964 8.837
Tl 2.567 1.482 2.008
Tl 0.000 2.964 13.435
Tl 2.567 1.482 9.760
Tl 0.000 2.964 5.683
Ag 2.567 1.482 13.468
Ag 0.000 2.964 1.975
```

Values from the calculation:
Crystal system ... trigonal
ρ ... 9.6 g/cm³
E ... -3.5283 eV per atom
Density of states at the Fermi level ... 12.15 states/eV per cell
SG ... P-3m1 (164)



4.
Compound: NdTmPb
Source: Alexandria via LeMat-Bulk
Functional: PBE
Structure: optimized geometry Values from VASP.

Quantum ESPRESSO input file:
```
&SYSTEM
  ibrav = 0, nat = 6, ntyp = 3
/
ATOMIC_SPECIES
Nd 144.24 Nd.upf
Tm 168.93 Tm.upf
Pb 207.20 Pb.upf
CELL_PARAMETERS angstrom
-2.843 3.626 -0.426
-2.479 -1.521 3.598
5.051 4.598 5.424
ATOMIC_POSITIONS angstrom
Nd 1.511 6.218 5.157
Nd -1.781 0.485 3.439
Tm 1.195 2.825 3.505
Tm -1.465 3.878 5.092
Pb -1.610 3.380 1.807
Pb 1.339 3.323 6.789
```

Values from the calculation:
Crystal system ... tetragonal
ρ ... 9.3 g/cm³
E ... -4.7525 eV per atom
Density of states at the Fermi level ... 6.75 states/eV per cell
SG ... P4/nmm (129)



5.
Compound: InSn2Se
Source: Alexandria via LeMat-Bulk
Functional: PBE
Structure: optimized geometry Values from VASP.

Quantum ESPRESSO input file:
```
&SYSTEM
  ibrav = 0, nat = 4, ntyp = 3
/
ATOMIC_SPECIES
Sn 118.71 Sn.upf
Se 78.96 Se.upf
In 114.82 In.upf
CELL_PARAMETERS angstrom
-3.244 1.235 -0.939
-1.134 -0.325 -3.397
-5.619 -8.898 0.824
ATOMIC_POSITIONS angstrom
Sn -4.355 -6.102 0.135
Sn -5.643 -1.886 -3.646
Se -4.999 -3.994 -1.756
In 0.000 0.000 0.000
```

Values from the calculation:
Crystal system ... trigonal
ρ ... 6.2 g/cm³
Formation energy without anion corrections ... 0.018 eV/atom
Density of states at the Fermi level ... 1.86 states/eV per cell
E above lowest polymorph ... 17 kJ/mol of formula units
SG ... R-3m (166)



6.
Compound: Rb3SbI
Source: Alexandria via LeMat-Bulk
Functional: PBE
Structure: optimized geometry Values from VASP.

Quantum ESPRESSO input file:
```
&SYSTEM
  ibrav = 0, nat = 10, ntyp = 3
/
ATOMIC_SPECIES
Rb 85.47 Rb.upf
Sb 121.76 Sb.upf
I 126.90 I.upf
CELL_PARAMETERS angstrom
6.091 0.001 -0.001
3.045 6.049 0.525
0.001 3.258 13.830
ATOMIC_POSITIONS angstrom
Rb 1.732 2.141 2.798
Rb 4.777 4.058 2.041
Rb 1.732 3.995 13.004
Rb 4.778 2.717 9.303
Rb 4.777 5.911 12.247
Rb 7.823 5.337 5.742
Sb 7.822 6.232 2.113
Sb 7.823 7.870 13.456
I 1.732 5.047 9.455
I 4.777 3.005 5.590
```

Values from the calculation:
Crystal system ... monoclinic
ρ ... 3.4 g/cm³
Formation energy without anion corrections ... -0.801 eV/atom
E above lowest polymorph ... 0 kJ/mol of formula units
SG ... C2/m (12)



7.
Compound: La2PmHoTm2
Source: Alexandria via LeMat-Bulk
Functional: PBE
Structure: optimized geometry Values from VASP.

Quantum ESPRESSO input file:
```
&SYSTEM
  ibrav = 0, nat = 12, ntyp = 4
/
ATOMIC_SPECIES
La 138.91 La.upf
Pm 145.00 Pm.upf
Ho 164.93 Ho.upf
Tm 168.93 Tm.upf
CELL_PARAMETERS angstrom
5.766 0.000 0.000
0.000 6.358 0.000
0.000 0.000 11.004
ATOMIC_POSITIONS angstrom
La 2.883 1.127 0.921
La 0.000 2.182 2.752
La 2.883 4.306 10.084
La 0.000 5.362 8.252
Pm 0.000 5.327 4.591
Pm 0.000 2.148 6.413
Ho 2.883 1.116 8.213
Ho 2.883 4.295 2.791
Tm 0.000 2.168 10.061
Tm 2.883 1.086 4.621
Tm 0.000 5.347 0.943
Tm 2.883 4.265 6.383
```

Values from the calculation:
Crystal system ... orthorhombic
ρ ... 7.6 g/cm³
E ... -4.6528 eV per atom
Density of states at the Fermi level ... 21.06 states/eV per cell
SG ... Pmc2_1 (26)



8.
Compound: Pm2PaPN5
Source: Alexandria via LeMat-Bulk
Functional: PBE
Structure: optimized geometry Values from VASP.

Quantum ESPRESSO input file:
```
&SYSTEM
  ibrav = 0, nat = 18, ntyp = 4
/
ATOMIC_SPECIES
Pm 145.00 Pm.upf
Pa 231.04 Pa.upf
P 30.97 P.upf
N 14.01 N.upf
CELL_PARAMETERS angstrom
-0.761 -2.513 5.129
-1.390 -5.535 -2.919
6.200 -1.623 0.125
ATOMIC_POSITIONS angstrom
Pm -0.250 -5.253 0.626
Pm 1.417 -2.739 2.104
Pm 2.632 -6.932 0.231
Pm 4.299 -4.418 1.710
Pa 2.405 -3.579 -1.397
Pa 0.000 0.000 0.000
P 3.100 -0.811 0.063
P -0.695 -2.768 -1.459
N 2.024 -4.836 1.168
N -0.381 -1.257 2.564
N 3.609 -2.324 0.737
N 0.886 -5.875 -1.407
N 0.200 -2.746 0.025
N 4.295 -5.453 -0.694
N 3.163 -3.796 3.742
N 3.849 -6.926 2.310
N 0.440 -7.347 1.598
N -0.246 -4.218 3.029
```

Values from the calculation:
Crystal system ... tetragonal
ρ ... 8.7 g/cm³
Formation energy without anion corrections ... -0.834 eV/atom
Density of states at the Fermi level ... 4.96 states/eV per cell
SG ... P4/mbm (127)



9.
Compound: TaMo3
Source: Alexandria via LeMat-Bulk
Functional: PBE
Structure: optimized geometry Values from VASP.

Quantum ESPRESSO input file:
```
&SYSTEM
  ibrav = 0, nat = 8, ntyp = 2
/
ATOMIC_SPECIES
Mo 95.94 Mo.upf
Ta 180.95 Ta.upf
CELL_PARAMETERS angstrom
5.309 0.004 0.003
-0.498 5.281 0.000
-2.420 -0.698 4.663
ATOMIC_POSITIONS angstrom
Mo 2.863 -0.681 4.666
Mo 2.875 1.247 0.596
Mo 0.463 2.460 1.185
Mo 3.374 3.709 1.734
Mo 0.962 4.922 2.323
Mo -0.948 0.870 2.915
Ta 1.947 2.112 3.496
Ta -0.530 3.358 4.085
```

Values from the calculation:
Crystal system ... triclinic
ρ ... 11.9 g/cm³
E ... -11.2183 eV per atom
Density of states at the Fermi level ... 3.14 states/eV per cell
SG ... P-1 (2)



10.
Compound: Pr4N2O
Source: Alexandria via LeMat-Bulk
Functional: PBE
Structure: optimized geometry Values from VASP.

Quantum ESPRESSO input file:
```
&SYSTEM
  ibrav = 0, nat = 7, ntyp = 3
/
ATOMIC_SPECIES
Pr 140.91 Pr.upf
N 14.01 N.upf
O 16.00 O.upf
CELL_PARAMETERS angstrom
-1.196 -3.378 0.674
1.239 -2.801 -1.979
9.297 -3.719 7.726
ATOMIC_POSITIONS angstrom
Pr 6.014 -3.132 4.840
Pr 1.168 -2.266 0.579
Pr 8.172 -7.633 5.841
Pr 3.326 -6.767 1.581
N 7.095 -5.383 5.343
N 2.244 -4.516 1.078
O 0.000 0.000 0.000
```

Values from the calculation:
Crystal system ... trigonal
ρ ... 7.0 g/cm³
Formation energy without anion corrections ... -1.542 eV/atom
Density of states at the Fermi level ... 3.56 states/eV per cell
E above lowest polymorph ... 0 kJ/mol of formula units
SG ... R-3m (166)



11.
Compound: FeHgPb2
Source: Alexandria via LeMat-Bulk
Functional: PBE
Structure: optimized geometry Values from VASP.

Quantum ESPRESSO input file:
```
&SYSTEM
  ibrav = 0, nat = 4, ntyp = 3
/
ATOMIC_SPECIES
Fe 55.84 Fe.upf
Hg 200.59 Hg.upf
Pb 207.20 Pb.upf
CELL_PARAMETERS angstrom
-7.870 -0.938 -7.133
-8.541 -3.588 -5.280
-9.694 -0.621 -4.398
ATOMIC_POSITIONS angstrom
Fe -12.934 -2.550 -8.329
Hg -19.947 -3.932 -12.845
Pb -0.183 -0.036 -0.118
Pb -6.093 -1.201 -3.924
```

Values from the calculation:
Crystal system ... trigonal
ρ ... 11.2 g/cm³
E ... -3.6596 eV per atom
Density of states at the Fermi level ... 3.41 states/eV per cell
SG ... R3m (160)



12.
Compound: Tb10CeSm6
Source: Alexandria via LeMat-Bulk
Functional: PBE
Structure: optimized geometry Values from VASP.

Quantum ESPRESSO input file:
```
&SYSTEM
  ibrav = 0, nat = 17, ntyp = 3
/
ATOMIC_SPECIES
Tb 158.93 Tb.upf
Ce 140.12 Ce.upf
Sm 150.36 Sm.upf
CELL_PARAMETERS angstrom
-1.651 -6.122 -2.692
8.601 -3.545 2.788
-7.646 -0.560 5.962
ATOMIC_POSITIONS angstrom
Tb -0.648 -7.980 4.191
Tb -3.412 -5.136 -0.580
Tb 0.982 -5.943 -1.438
Tb -0.049 -2.248 1.866
Tb -5.885 -1.546 3.849
Tb 5.968 -3.724 1.534
Tb -3.056 -4.616 3.557
Tb 2.360 -5.611 2.499
Tb 3.185 -2.550 3.846
Tb -2.230 -1.555 4.904
Ce -0.825 -3.061 -1.346
Sm -0.796 -5.853 1.428
Sm -5.905 -4.644 1.811
Sm 4.181 -6.497 -0.159
Sm 0.100 -4.374 4.629
Sm -3.392 -2.038 1.458
Sm 2.769 -3.170 0.254
```

Values from the calculation:
Crystal system ... trigonal
ρ ... 7.8 g/cm³
E ... -4.5933 eV per atom
Density of states at the Fermi level ... 27.28 states/eV per cell
SG ... P-31m (162)



- Look up the ρ of the sixth one.
  3.4 g/cm³



- Look up the ρ of the fifth one.
  6.2 g/cm³



- ρ of number 6 (Rb3SbI)?
  3.4 g/cm³



- The highest ρ belongs to which entry?
  TaMo3